[1]
A geometry-optimized TlOs5 structure, computed with PBE.

```
TlOs5
1.0
2.806 0.000 0.000
0.000 2.806 0.000
0.000 0.000 11.924
Os Tl
5 1
direct
0.000 0.000 0.308
0.000 0.000 0.000
0.500 0.500 0.838
0.500 0.500 0.162
0.000 0.000 0.692
0.500 0.500 0.500
```

Properties
Density   20.4 g cm⁻³
SG   P4/mmm, No. 123
Offset from the most stable computed form   0.00 eV per formula unit

[2]
A geometry-optimized Ac4MgCd3 structure, computed with PBE.

```
Ac4MgCd3
1.0
5.535 0.000 1.634
2.527 4.925 1.634
0.056 0.034 10.004
Ac Cd Mg
4 3 1
direct
0.624 0.624 0.128
0.126 0.126 0.622
0.874 0.874 0.378
0.376 0.376 0.872
0.253 0.253 0.241
0.747 0.747 0.759
0.500 0.500 0.500
0.000 0.000 0.000
```

Properties
Density   7.7 g cm⁻³
SG   R-3m, No. 166
Offset from the most stable computed form   0.00 eV per formula unit

[3]
A geometry-optimized SrNd2Y structure, computed with PBE.

```
SrNd2Y
1.0
4.138 0.000 0.000
0.000 4.138 0.000
0.000 0.000 9.153
Y Nd Sr
1 2 1
direct
0.500 0.500 0.000
0.000 0.000 0.792
0.000 0.000 0.208
0.500 0.500 0.500
```

Properties
Density   4.9 g cm⁻³
SG   P4/mmm, No. 123
Offset from the most stable computed form   0.13 eV per formula unit

[4]
A geometry-optimized Ti2CuW structure, computed with PBE.

```
Ti2CuW
1.0
0.000 3.125 3.125
3.125 0.000 3.125
3.125 3.125 0.000
Ti Cu W
2 1 1
direct
0.250 0.250 0.250
0.750 0.750 0.750
0.000 0.000 0.000
0.500 0.500 0.500
```

Properties
Density   9.3 g cm⁻³
SG   Fm-3m, No. 225
Offset from the most stable computed form   0.16 eV per formula unit

[5]
A geometry-optimized K2CaTl6 structure, computed with PBE.

```
K2CaTl6
1.0
-0.248 1.573 3.369
-8.306 -4.375 1.434
-0.204 -8.608 4.006
K Tl Ca
2 6 1
direct
0.000 0.667 0.667
0.000 0.333 0.333
0.501 0.327 0.000
0.499 0.673 0.000
0.500 0.327 0.673
0.501 0.000 0.327
0.500 0.673 0.327
0.499 0.000 0.673
0.000 0.000 0.000
```

Properties
Density   7.7 g cm⁻³
SG   P6/mmm, No. 191
DFT total energy   -2.17 eV/atom

[6]
A geometry-optimized Y2SiTcTe structure, computed with PBE.

```
Y2SiTcTe
1.0
-4.015 1.904 -3.002
0.959 -3.515 -3.512
-3.407 -3.355 2.428
Y Si Tc Te
2 1 1 1
direct
0.000 0.000 0.500
0.500 0.000 0.000
0.000 0.000 0.000
0.500 0.500 0.500
0.000 0.500 0.000
```

Properties
Density   4.9 g cm⁻³
SG   P4/mmm, No. 123
Uncorrected formation energy   0.68 eV/atom

Please write out number 4 again, unchanged.
A geometry-optimized Ti2CuW structure, computed with PBE.

```
Ti2CuW
1.0
0.000 3.125 3.125
3.125 0.000 3.125
3.125 3.125 0.000
Ti Cu W
2 1 1
direct
0.250 0.250 0.250
0.750 0.750 0.750
0.000 0.000 0.000
0.500 0.500 0.500
```

Properties
Density   9.3 g cm⁻³
SG   Fm-3m, No. 225
Offset from the most stable computed form   0.16 eV per formula unit